[1]
First-principles (GGA-PBE) data for crystalline DyLuMnAu at its relaxed geometry, as listed in Alexandria.

Summary:
magnetic moment: 3.5 μB/f.u.
theoretical density: 11.0 Mg/m³
D(E_F): 20.66 states/eV/cell

a b c (Å): 7.0824 7.0824 7.0824
angles (deg): 90.00 90.00 90.00
Space group F-43m (No. 216)
Asymmetric unit:
Dy1 0.0000 0.0000 0.0000
Lu1 0.0000 0.0000 0.5000
Mn1 0.2500 0.2500 0.7500
Au1 0.2500 0.2500 0.2500



[2]
First-principles (GGA-PBE) data for crystalline DyLuOsAu at its relaxed geometry, as listed in Alexandria.

Summary:
magnetic moment: 0.0 μB/f.u.
theoretical density: 14.5 Mg/m³
D(E_F): 6.30 states/eV/cell

a b c (Å): 6.9191 6.9191 6.9191
angles (deg): 90.00 90.00 90.00
Space group F-43m (No. 216)
Asymmetric unit:
Dy1 0.0000 0.0000 0.0000
Lu1 0.0000 0.0000 0.5000
Os1 0.2500 0.2500 0.2500
Au1 0.2500 0.2500 0.7500



[3]
First-principles (GGA-PBE) data for crystalline DyLuPbAu at its relaxed geometry, as listed in Alexandria.

Summary:
magnetic moment: 0.5 μB/f.u.
theoretical density: 12.3 Mg/m³
D(E_F): 16.00 states/eV/cell

a b c (Å): 7.3761 7.3761 7.3761
angles (deg): 90.00 90.00 90.00
Space group F-43m (No. 216)
Asymmetric unit:
Dy1 0.0000 0.0000 0.0000
Lu1 0.0000 0.0000 0.5000
Pb1 0.2500 0.2500 0.7500
Au1 0.2500 0.2500 0.2500



[4]
First-principles (GGA-PBE) data for crystalline DyLuPdAu at its relaxed geometry, as listed in Alexandria.

Summary:
magnetic moment: 0.0 μB/f.u.
theoretical density: 12.2 Mg/m³
D(E_F): 13.75 states/eV/cell

a b c (Å): 7.0389 7.0389 7.0389
angles (deg): 90.00 90.00 90.00
Space group F-43m (No. 216)
Asymmetric unit:
Dy1 0.0000 0.0000 0.0000
Lu1 0.0000 0.0000 0.5000
Pd1 0.2500 0.2500 0.7500
Au1 0.2500 0.2500 0.2500



[5]
First-principles (GGA-PBE) data for crystalline DyLuRuAu at its relaxed geometry, as listed in Alexandria.

Summary:
magnetic moment: 0.0 μB/f.u.
theoretical density: 12.7 Mg/m³
D(E_F): 7.82 states/eV/cell

a b c (Å): 6.9267 6.9267 6.9267
angles (deg): 90.00 90.00 90.00
Space group F-43m (No. 216)
Asymmetric unit:
Dy1 0.0000 0.0000 0.0000
Lu1 0.0000 0.0000 0.5000
Ru1 0.2500 0.2500 0.2500
Au1 0.2500 0.2500 0.7500



[6]
First-principles (GGA-PBE) data for crystalline DyLuTcAu at its relaxed geometry, as listed in Alexandria.

Summary:
magnetic moment: 0.0 μB/f.u.
theoretical density: 12.6 Mg/m³
D(E_F): 6.31 states/eV/cell

a b c (Å): 6.9330 6.9330 6.9330
angles (deg): 90.00 90.00 90.00
Space group F-43m (No. 216)
Asymmetric unit:
Dy1 0.0000 0.0000 0.0000
Lu1 0.0000 0.0000 0.5000
Tc1 0.2500 0.2500 0.2500
Au1 0.2500 0.2500 0.7500



[7]
First-principles (GGA-PBE) data for crystalline DyLuTlAu at its relaxed geometry, as listed in Alexandria.

Summary:
magnetic moment: 0.0 μB/f.u.
theoretical density: 12.4 Mg/m³
D(E_F): 10.29 states/eV/cell

a b c (Å): 7.3396 7.3396 7.3396
angles (deg): 90.00 90.00 90.00
Space group F-43m (No. 216)
Asymmetric unit:
Dy1 0.0000 0.0000 0.0000
Lu1 0.0000 0.0000 0.5000
Tl1 0.2500 0.2500 0.2500
Au1 0.2500 0.2500 0.7500



[8]
First-principles (GGA-PBE) data for crystalline DyLuZnAu at its relaxed geometry, as listed in Alexandria.

Summary:
magnetic moment: 0.0 μB/f.u.
theoretical density: 11.1 Mg/m³
D(E_F): 18.34 states/eV/cell

a b c (Å): 7.1027 7.1027 7.1027
angles (deg): 90.00 90.00 90.00
Space group F-43m (No. 216)
Asymmetric unit:
Dy1 0.0000 0.0000 0.0000
Lu1 0.0000 0.0000 0.5000
Zn1 0.2500 0.2500 0.2500
Au1 0.2500 0.2500 0.7500



[9]
First-principles (GGA-PBE) data for crystalline DyMgAu at its relaxed geometry, as listed in Alexandria.

Summary:
magnetic moment: 0.0 μB/f.u.
theoretical density: 8.2 Mg/m³
D(E_F): 14.87 states/eV/cell

a b c (Å): 6.7760 6.7760 6.7760
angles (deg): 90.00 90.00 90.00
Space group F-43m (No. 216)
Asymmetric unit:
Dy1 0.0000 0.0000 0.0000
Mg1 0.0000 0.0000 0.5000
Au1 0.2500 0.2500 0.2500



[10]
First-principles (GGA-PBE) data for crystalline DyMg3Au at its relaxed geometry, as listed in Alexandria.

Summary:
magnetic moment: 0.0 μB/f.u.
theoretical density: 6.1 Mg/m³
D(E_F): 13.00 states/eV/cell

a b c (Å): 9.3671 3.9648 12.6090
angles (deg): 90.00 90.00 90.00
Space group Pnma (No. 62)
Asymmetric unit:
Dy1 0.1717 0.2500 0.0071
Mg1 0.0562 0.2500 0.4147
Mg2 0.0868 0.7500 0.2207
Mg3 0.1607 0.7500 0.7876
Au1 0.1463 0.2500 0.6265



[11]
First-principles (GGA-PBE) data for crystalline DyMg2Au4 at its relaxed geometry, as listed in Alexandria.

Summary:
magnetic moment: 0.0 μB/f.u.
theoretical density: 11.0 Mg/m³
D(E_F): 12.77 states/eV/cell

a b c (Å): 6.4550 6.5064 14.3603
angles (deg): 90.00 90.00 90.00
Space group Fmmm (No. 69)
Asymmetric unit:
Dy1 0.0000 0.0000 0.0000
Mg1 0.0000 0.0000 0.2561
Au1 0.2500 0.2500 0.1343



[12]
First-principles (GGA-PBE) data for crystalline Dy2Mg3Au4 at its relaxed geometry, as listed in Alexandria.

Summary:
magnetic moment: 0.0 μB/f.u.
E above lowest polymorph: 22.8 meV per atom
theoretical density: 10.3 Mg/m³
D(E_F): 20.41 states/eV/cell

a b c (Å): 6.0269 16.2276 7.8493
angles (deg): 90.00 90.00 90.00
Space group Cmce (No. 64)
Asymmetric unit:
Dy1 0.0000 0.1026 0.0954
Mg1 0.0000 0.0000 0.5000
Mg2 0.2500 0.2239 0.7500
Au1 0.0000 0.1743 0.4571
Au2 0.2500 0.0545 0.7500



no.,energy of formation (eV per formula unit),DFT total energy (eV/atom)
1,-1.10,-5.6672
2,-2.09,-6.4299
3,-2.30,-4.6021
4,-3.56,-5.2880
5,-2.49,-6.0414
6,-1.60,-6.0911
7,-2.24,-4.2513
8,-2.43,-4.0272
9,-1.54,-3.6704
10,-1.83,-2.8987
11,-3.84,-3.5342
12,-5.78,-3.6533